Entry 1:
DFT (PBE-GGA) results for Hf2ZrPt2 after structural relaxation.

Cell: 7.2967 7.2967 7.2967 Å, 142.21 115.89 76.89°
Last column: nearest neighbours and their distance in Å.
Fractional coordinates of all 10 atoms:
Hf 0.2077 0.1595 0.0483  5 Pt 2.68-2.93
Hf 0.3888 0.8405 0.5483  5 Pt 2.68-2.93
Hf 0.6112 0.1595 0.4517  5 Pt 2.68-2.93
Hf 0.7923 0.8405 0.9517  5 Pt 2.68-2.93
Zr 0.0915 0.3415 0.7500  2 Pt 2.72
Zr 0.9085 0.6585 0.2500  2 Pt 2.72
Pt 0.2097 0.9597 0.2500  4 Hf 2.68-2.77, 2 Zr 2.72
Pt 0.3739 0.6239 0.7500  6 Hf 2.86-2.93, 2 Pt 3.02
Pt 0.6261 0.3761 0.2500  6 Hf 2.86-2.93, 2 Pt 3.02
Pt 0.7903 0.0403 0.7500  4 Hf 2.68-2.77, 2 Zr 2.72

V in Å³/cell: 209.2
Uncorrected energy in Ry/atom: -0.647

***

Entry 2:
DFT (PBE-GGA) results for HfZrPt after structural relaxation.

Cell: 6.6716 5.6216 5.2780 Å, 75.41 54.63 49.96°
Last column: nearest neighbours and their distance in Å.
Fractional coordinates of all 6 atoms:
Hf 0.1542 0.1542 0.8458  4 Pt 2.80, 1 Hf 3.03
Hf 0.8458 0.8458 0.1542  4 Pt 2.80, 1 Hf 3.03
Zr 0.3372 0.6628 0.3372  4 Pt 2.92, 3 Zr 2.94-3.16
Zr 0.6628 0.3372 0.6628  4 Pt 2.92, 3 Zr 2.94-3.16
Pt 0.2500 0.2500 0.2500  2 Pt 2.73, 4 Hf 2.80, 4 Zr 2.92
Pt 0.7500 0.7500 0.7500  2 Pt 2.73, 4 Hf 2.80, 4 Zr 2.92

V in Å³/cell: 121.3
Uncorrected energy in Ry/atom: -0.658

***

Entry 3:
DFT (PBE-GGA) results for HfZr8Pt2 after structural relaxation.

Cell: 7.7521 7.7521 4.9121 Å, 99.03 99.03 117.67°
Last column: nearest neighbours and their distance in Å.
Fractional coordinates of all 11 atoms:
Hf 0.0000 0.0000 0.0000  12 Zr 2.97-3.30
Zr 0.0848 0.3122 0.5867  2 Pt 2.78-3.00, 2 Zr 3.02-3.04
Zr 0.2285 0.7715 0.0000  2 Pt 2.68
Zr 0.3122 0.0848 0.5867  2 Pt 2.78-3.00, 2 Zr 3.02-3.04
Zr 0.3886 0.3886 0.1808  2 Zr 2.88-3.10, 1 Hf 2.97, 2 Pt 2.97
Zr 0.6114 0.6114 0.8192  2 Zr 2.88-3.10, 1 Hf 2.97, 2 Pt 2.97
Zr 0.6878 0.9152 0.4133  2 Pt 2.78-3.00, 2 Zr 3.02-3.04
Zr 0.7715 0.2285 0.0000  2 Pt 2.68
Zr 0.9152 0.6878 0.4133  2 Pt 2.78-3.00, 2 Zr 3.02-3.04
Pt 0.3090 0.6910 0.5000  6 Zr 2.68-2.97
Pt 0.6910 0.3090 0.5000  6 Zr 2.68-2.97

V in Å³/cell: 249.1
Uncorrected energy in Ry/atom: -0.624

***

Entry 4:
DFT (PBE-GGA) results for Hf3ZrPt after structural relaxation.

Cell: 14.8839 14.8839 4.5921 Å, 90.00 90.00 167.38°
Last column: nearest neighbours and their distance in Å.
Fractional coordinates of all 10 atoms:
Hf 0.0295 0.9705 0.7500  3 Hf 2.89-2.91, 4 Zr 3.13
Hf 0.1278 0.8722 0.7500  2 Pt 2.68, 1 Hf 2.91
Hf 0.2097 0.7903 0.2500  5 Pt 2.69-2.84
Hf 0.7903 0.2097 0.7500  5 Pt 2.69-2.84
Hf 0.8722 0.1278 0.2500  2 Pt 2.68, 1 Hf 2.91
Hf 0.9705 0.0295 0.2500  3 Hf 2.89-2.91, 4 Zr 3.13
Zr 0.4246 0.5754 0.7500  8 Hf 3.13-3.22, 2 Zr 3.27
Zr 0.5754 0.4246 0.2500  8 Hf 3.13-3.22, 2 Zr 3.27
Pt 0.3005 0.6995 0.2500  7 Hf 2.68-2.84
Pt 0.6995 0.3005 0.7500  7 Hf 2.68-2.84

V in Å³/cell: 222.3
Uncorrected energy in Ry/atom: -0.672

***

Look up the uncorrected energy of the fourth one. -0.672 Ry/atom

***

What did the first record say?
DFT (PBE-GGA) results for Hf2ZrPt2 after structural relaxation.

Cell: 7.2967 7.2967 7.2967 Å, 142.21 115.89 76.89°
Last column: nearest neighbours and their distance in Å.
Fractional coordinates of all 10 atoms:
Hf 0.2077 0.1595 0.0483  5 Pt 2.68-2.93
Hf 0.3888 0.8405 0.5483  5 Pt 2.68-2.93
Hf 0.6112 0.1595 0.4517  5 Pt 2.68-2.93
Hf 0.7923 0.8405 0.9517  5 Pt 2.68-2.93
Zr 0.0915 0.3415 0.7500  2 Pt 2.72
Zr 0.9085 0.6585 0.2500  2 Pt 2.72
Pt 0.2097 0.9597 0.2500  4 Hf 2.68-2.77, 2 Zr 2.72
Pt 0.3739 0.6239 0.7500  6 Hf 2.86-2.93, 2 Pt 3.02
Pt 0.6261 0.3761 0.2500  6 Hf 2.86-2.93, 2 Pt 3.02
Pt 0.7903 0.0403 0.7500  4 Hf 2.68-2.77, 2 Zr 2.72

V in Å³/cell: 209.2
Uncorrected energy in Ry/atom: -0.647

***

Which of these has the lowest V? HfZrPt

***

What is the formula in the first record? Hf2ZrPt2